Density functional theory data (PBE-GGA) for a geometry-optimized AgRhN2O structure.

For the energy relative to the elements, uncorrected, the calculation gives 1.078 eV per atom. The density of states at the Fermi level is 4.19 states/eV/f.u. Its crystal system is tetragonal. For the total magnetic moment, the calculation gives 0.001 Bohr magnetons per cell.

Unit cell a=3.767 b=3.767 c=4.431 alpha=90.00 beta=90.00 gamma=90.00
Element x y z (fractional)
Ag 0.000 0.000 0.000
Rh 0.500 0.500 0.500
N 0.000 0.500 0.500
N 0.500 0.000 0.500
O 0.500 0.500 0.000